Material: PrSm2ErH
Method: DFT, PBE
State: optimized geometry

Cell lengths 5.0969, 5.0969, 5.0658 Å; angles 90.00, 90.00, 90.00 degrees
Last column: nearest neighbours and their distance in Å.
Fractional positions:
Pr: 0.0000 0.0000 0.0000  8 Sm 3.59, 4 Er 3.60
Sm: 0.0000 0.5000 0.5000  2 H 2.55
Sm: 0.5000 0.0000 0.5000  2 H 2.55
Er: 0.5000 0.5000 0.0000  2 H 2.53
H: 0.5000 0.5000 0.5000  2 Er 2.53, 4 Sm 2.55

VASP energy ... -4.5975 eV/atom
Space-group type ... No. 123


Material: KZrTl3
Method: DFT, PBE
State: optimized geometry

Cell lengths 5.7547, 5.7547, 5.7547 Å; angles 90.00, 90.00, 90.00 degrees
Last column: nearest neighbours and their distance in Å.
Fractional positions:
K: 0.0000 0.0000 0.0000  12 Tl 4.07
Zr: 0.5000 0.5000 0.5000  6 Tl 2.88
Tl: 0.0000 0.5000 0.5000  2 Zr 2.88
Tl: 0.5000 0.0000 0.5000  2 Zr 2.88
Tl: 0.5000 0.5000 0.0000  2 Zr 2.88

VASP energy ... -3.1554 eV/atom
Space-group type ... No. 221
Excess energy over the best structure of this formula in the dataset ... 0.000 eV/atom
Energy of formation from the pure elements ... 93.4 kJ/mol of formula units


Material: Sc7Pb6
Method: DFT, PBE
State: optimized geometry

Cell lengths 11.0042, 11.0042, 11.0042 Å; angles 32.44, 32.44, 32.44 degrees
Last column: nearest neighbours and their distance in Å.
Fractional positions:
Sc: 0.0000 0.0000 0.0000  6 Sc 3.13
Sc: 0.0832 0.0832 0.5854  5 Sc 3.06-3.13, 5 Pb 3.16-3.34
Sc: 0.0832 0.5854 0.0832  5 Sc 3.06-3.13, 5 Pb 3.16-3.34
Sc: 0.4146 0.9168 0.9168  5 Sc 3.06-3.13, 5 Pb 3.16-3.34
Sc: 0.5854 0.0832 0.0832  5 Sc 3.06-3.13, 5 Pb 3.16-3.34
Sc: 0.9168 0.4146 0.9168  5 Sc 3.06-3.13, 5 Pb 3.16-3.34
Sc: 0.9168 0.9168 0.4146  5 Sc 3.06-3.13, 5 Pb 3.16-3.34
Pb: 0.1667 0.1667 0.1667  6 Sc 3.16-3.17
Pb: 0.3411 0.3411 0.3411  1 Pb 3.15, 3 Sc 3.34
Pb: 0.4419 0.4419 0.4419  1 Pb 3.15, 6 Sc 3.18
Pb: 0.5581 0.5581 0.5581  1 Pb 3.15, 6 Sc 3.18
Pb: 0.6589 0.6589 0.6589  1 Pb 3.15, 3 Sc 3.34
Pb: 0.8333 0.8333 0.8333  6 Sc 3.16-3.17

VASP energy ... -5.2160 eV/atom
Space-group type ... No. 166
Energy of formation from the pure elements ... -119.3 kJ/mol of formula units